Entry from Alexandria: a relaxed AgHS2N crystal (PBE).

Lattice parameters (Å, degrees): 3.427 3.427 7.265 90.00 90.00 90.00
Fractional coordinates of all 5 atoms:
H: 0.000 0.000 0.000
N: 0.000 0.000 0.500
S: 0.000 0.500 0.000
S: 0.500 0.000 0.000
Ag: 0.500 0.500 0.500

Calculated values
offset from the most stable computed form: 0.0 meV per atom